SrZrSb2 | PBE | relaxed

* raw total energy: -4.58 eV per atom

Structure (POSCAR):
```
SrZrSb2
1.0
7.5660 0.0000 0.0000
0.0000 7.5660 0.0000
0.0000 0.0000 7.5660
Sr Zr Sb
4 4 8
direct
0.0000 0.0000 0.0000
0.0000 0.5000 0.5000
0.5000 0.0000 0.5000
0.5000 0.5000 0.0000
0.2500 0.2500 0.2500
0.2500 0.7500 0.7500
0.7500 0.2500 0.7500
0.7500 0.7500 0.2500
0.0000 0.0000 0.5000
0.0000 0.5000 0.0000
0.2500 0.2500 0.7500
0.2500 0.7500 0.2500
0.5000 0.0000 0.0000
0.5000 0.5000 0.5000
0.7500 0.2500 0.2500
0.7500 0.7500 0.7500
```